1.
A plane-wave DFT calculation with PBE was carried out for a geometry-optimized Ac2NpN2O2 structure. Values from VASP.

```
&SYSTEM
  ibrav = 0, nat = 7, ntyp = 4
/
ATOMIC_SPECIES
Ac 227.00 Ac.upf
Np 237.00 Np.upf
N 14.01 N.upf
O 16.00 O.upf
CELL_PARAMETERS angstrom
4.380 0.000 0.000
0.000 4.380 0.000
-2.190 -2.190 6.581
ATOMIC_POSITIONS crystal
Ac 0.360 0.360 0.720
Ac 0.640 0.640 0.280
Np 0.000 0.000 0.000
N 0.000 0.500 0.000
N 0.500 0.000 0.000
O 0.178 0.178 0.356
O 0.822 0.822 0.644
```

Formation energy without anion corrections: -2.008 eV per atom
Electronic total energy: -0.649 Ry/atom

---

2.
A plane-wave DFT calculation with PBE was carried out for a geometry-optimized Ac2NpOsN6 structure. Values from VASP.

```
&SYSTEM
  ibrav = 0, nat = 20, ntyp = 4
/
ATOMIC_SPECIES
Ac 227.00 Ac.upf
Np 237.00 Np.upf
Os 190.23 Os.upf
N 14.01 N.upf
CELL_PARAMETERS angstrom
-3.097 -4.890 -0.965
0.863 -4.731 3.362
-7.694 -0.038 7.042
ATOMIC_POSITIONS crystal
Ac 0.865 0.865 0.404
Ac 0.135 0.135 0.596
Ac 0.713 0.713 0.860
Ac 0.287 0.287 0.140
Np 0.590 0.590 0.230
Np 0.410 0.410 0.770
Os 0.000 0.000 0.000
Os 0.500 0.500 0.500
N 0.867 0.378 0.377
N 0.378 0.867 0.377
N 0.378 0.378 0.377
N 0.133 0.622 0.623
N 0.622 0.133 0.623
N 0.622 0.622 0.623
N 0.710 0.202 0.885
N 0.202 0.710 0.885
N 0.202 0.202 0.885
N 0.290 0.798 0.115
N 0.798 0.290 0.115
N 0.798 0.798 0.115
```

Formation energy without anion corrections: -0.663 eV per atom
Electronic total energy: -0.654 Ry/atom

---

3.
A plane-wave DFT calculation with PBE was carried out for a geometry-optimized Ac2NpOs2N6 structure. Values from VASP.

```
&SYSTEM
  ibrav = 0, nat = 11, ntyp = 4
/
ATOMIC_SPECIES
Ac 227.00 Ac.upf
Np 237.00 Np.upf
Os 190.23 Os.upf
N 14.01 N.upf
CELL_PARAMETERS angstrom
5.825 0.000 0.000
2.913 5.045 0.000
2.913 1.682 6.044
ATOMIC_POSITIONS crystal
Ac 0.786 0.786 0.641
Ac 0.214 0.214 0.359
Np 0.000 0.000 0.000
Os 0.394 0.394 0.818
Os 0.606 0.606 0.182
N 0.752 0.752 0.269
N 0.227 0.752 0.269
N 0.752 0.227 0.269
N 0.248 0.773 0.731
N 0.773 0.248 0.731
N 0.248 0.248 0.731
```

Formation energy without anion corrections: -0.524 eV per atom
Electronic total energy: -0.664 Ry/atom

---

4.
A plane-wave DFT calculation with PBE was carried out for a geometry-optimized Ac2NpPN5 structure. Values from VASP.

```
&SYSTEM
  ibrav = 0, nat = 18, ntyp = 4
/
ATOMIC_SPECIES
Ac 227.00 Ac.upf
Np 237.00 Np.upf
P 30.97 P.upf
N 14.01 N.upf
CELL_PARAMETERS angstrom
-2.025 5.216 2.147
-4.113 -3.345 4.245
4.893 -0.039 4.710
ATOMIC_POSITIONS crystal
Ac 0.500 0.677 0.177
Ac 0.500 0.177 0.323
Ac 0.500 0.823 0.677
Ac 0.500 0.323 0.823
Np 0.000 0.500 0.500
Np 0.000 0.000 0.000
P 0.000 0.000 0.500
P 0.000 0.500 0.000
N 0.500 0.500 0.500
N 0.500 0.000 0.000
N 0.199 0.130 0.630
N 0.199 0.870 0.370
N 0.199 0.370 0.130
N 0.199 0.630 0.870
N 0.801 0.130 0.630
N 0.801 0.630 0.870
N 0.801 0.870 0.370
N 0.801 0.370 0.130
```

Formation energy without anion corrections: -0.454 eV per atom
Electronic total energy: -0.590 Ry/atom

---

5.
A plane-wave DFT calculation with PBE was carried out for a geometry-optimized AcNpPN5 structure. Values from VASP.

```
&SYSTEM
  ibrav = 0, nat = 16, ntyp = 4
/
ATOMIC_SPECIES
Ac 227.00 Ac.upf
Np 237.00 Np.upf
P 30.97 P.upf
N 14.01 N.upf
CELL_PARAMETERS angstrom
-5.609 -0.251 -1.822
0.084 -1.504 5.708
1.261 7.332 0.266
ATOMIC_POSITIONS crystal
Ac 0.340 0.660 0.250
Ac 0.660 0.340 0.750
Np 0.000 0.000 0.500
Np 0.000 0.000 0.000
P 0.686 0.314 0.250
P 0.314 0.686 0.750
N 0.075 0.925 0.250
N 0.925 0.075 0.750
N 0.876 0.301 0.113
N 0.124 0.699 0.887
N 0.699 0.124 0.387
N 0.301 0.876 0.613
N 0.761 0.602 0.394
N 0.239 0.398 0.606
N 0.398 0.239 0.106
N 0.602 0.761 0.894
```

Formation energy without anion corrections: -0.824 eV per atom
Electronic total energy: -0.649 Ry/atom

---

6.
A plane-wave DFT calculation with PBE was carried out for a geometry-optimized Ac3Np2P2N5 structure. Values from VASP.

```
&SYSTEM
  ibrav = 0, nat = 12, ntyp = 4
/
ATOMIC_SPECIES
Ac 227.00 Ac.upf
Np 237.00 Np.upf
P 30.97 P.upf
N 14.01 N.upf
CELL_PARAMETERS angstrom
-1.910 -3.735 -1.080
0.375 -1.375 4.090
-10.143 7.376 1.114
ATOMIC_POSITIONS crystal
Ac 0.176 0.176 0.351
Ac 0.824 0.824 0.649
Ac 0.000 0.000 0.000
Np 0.413 0.413 0.827
Np 0.587 0.587 0.173
P 0.698 0.698 0.396
P 0.302 0.302 0.604
N 0.586 0.086 0.171
N 0.414 0.914 0.829
N 0.086 0.586 0.171
N 0.914 0.414 0.829
N 0.500 0.500 0.000
```

Formation energy without anion corrections: -1.217 eV per atom
Electronic total energy: -0.645 Ry/atom

---

7.
A plane-wave DFT calculation with PBE was carried out for a geometry-optimized AcNp3P4N12 structure. Values from VASP.

```
&SYSTEM
  ibrav = 0, nat = 20, ntyp = 4
/
ATOMIC_SPECIES
Ac 227.00 Ac.upf
Np 237.00 Np.upf
P 30.97 P.upf
N 14.01 N.upf
CELL_PARAMETERS angstrom
-0.492 6.371 2.694
-5.873 -3.069 2.046
4.849 -3.033 3.921
ATOMIC_POSITIONS crystal
Ac 0.000 0.000 0.000
Np 0.550 0.450 0.000
Np 0.450 0.000 0.550
Np 0.000 0.550 0.450
P 0.948 0.052 0.500
P 0.052 0.500 0.948
P 0.500 0.948 0.052
P 0.500 0.500 0.500
N 0.500 0.354 0.646
N 0.905 0.500 0.095
N 0.095 0.905 0.500
N 0.500 0.095 0.905
N 0.367 0.970 0.208
N 0.208 0.367 0.970
N 0.970 0.208 0.367
N 0.633 0.792 0.030
N 0.030 0.633 0.792
N 0.792 0.030 0.633
N 0.646 0.500 0.354
N 0.354 0.646 0.500
```

Formation energy without anion corrections: -0.663 eV per atom
Electronic total energy: -0.653 Ry/atom

---

8.
A plane-wave DFT calculation with PBE was carried out for a geometry-optimized AcNpPaN3 structure. Values from VASP.

```
&SYSTEM
  ibrav = 0, nat = 12, ntyp = 4
/
ATOMIC_SPECIES
Ac 227.00 Ac.upf
Np 237.00 Np.upf
Pa 231.04 Pa.upf
N 14.01 N.upf
CELL_PARAMETERS angstrom
3.538 0.000 0.000
0.000 7.223 0.926
0.000 -1.685 8.715
ATOMIC_POSITIONS crystal
Ac 0.750 0.863 0.825
Ac 0.250 0.137 0.175
Np 0.250 0.190 0.579
Np 0.750 0.810 0.421
Pa 0.250 0.633 0.144
Pa 0.750 0.367 0.856
N 0.250 0.882 0.575
N 0.750 0.848 0.133
N 0.750 0.413 0.101
N 0.750 0.118 0.425
N 0.250 0.587 0.899
N 0.250 0.152 0.867
```

Formation energy without anion corrections: -1.070 eV per atom
Electronic total energy: -0.710 Ry/atom

---

9.
A plane-wave DFT calculation with PBE was carried out for a geometry-optimized Ac3NpPa3N8 structure. Values from VASP.

```
&SYSTEM
  ibrav = 0, nat = 15, ntyp = 4
/
ATOMIC_SPECIES
Ac 227.00 Ac.upf
Np 237.00 Np.upf
Pa 231.04 Pa.upf
N 14.01 N.upf
CELL_PARAMETERS angstrom
7.202 0.000 0.000
-3.601 6.238 -0.021
0.000 -4.138 6.109
ATOMIC_POSITIONS crystal
Ac 0.000 0.000 0.000
Ac 0.000 0.500 0.000
Ac 0.500 0.500 0.000
Np 0.000 0.000 0.500
Pa 0.500 0.000 0.500
Pa 0.500 0.500 0.500
Pa 0.000 0.500 0.500
N 0.270 0.540 0.310
N 0.730 0.460 0.690
N 0.779 0.558 0.324
N 0.221 0.442 0.676
N 0.779 0.046 0.324
N 0.221 0.954 0.676
N 0.267 0.046 0.324
N 0.733 0.954 0.676
```

Formation energy without anion corrections: -1.288 eV per atom
Electronic total energy: -0.684 Ry/atom

---

10.
A plane-wave DFT calculation with PBE was carried out for a geometry-optimized Ac2NpPaN5 structure. Values from VASP.

```
&SYSTEM
  ibrav = 0, nat = 9, ntyp = 4
/
ATOMIC_SPECIES
Ac 227.00 Ac.upf
Np 237.00 Np.upf
Pa 231.04 Pa.upf
N 14.01 N.upf
CELL_PARAMETERS angstrom
-3.265 -0.412 -2.571
1.909 -3.183 -1.915
-3.874 -5.847 5.857
ATOMIC_POSITIONS crystal
Ac 0.500 0.500 0.275
Ac 0.500 0.500 0.725
Np 0.000 0.000 0.500
Pa 0.000 0.000 0.000
N 0.000 0.500 0.500
N 0.500 0.000 0.500
N 0.000 0.000 0.773
N 0.000 0.000 0.227
N 0.500 0.500 0.000
```

Formation energy without anion corrections: -1.173 eV per atom
Electronic total energy: -0.676 Ry/atom

---

11.
A plane-wave DFT calculation with PBE was carried out for a geometry-optimized AcNpPa2N6 structure. Values from VASP.

```
&SYSTEM
  ibrav = 0, nat = 10, ntyp = 4
/
ATOMIC_SPECIES
Ac 227.00 Ac.upf
Np 237.00 Np.upf
Pa 231.04 Pa.upf
N 14.01 N.upf
CELL_PARAMETERS angstrom
-4.113 1.350 -4.272
-4.510 -3.895 -1.219
-5.769 1.409 1.671
ATOMIC_POSITIONS crystal
Ac 0.777 0.777 0.670
Np 0.312 0.312 0.064
Pa 0.526 0.526 0.422
Pa 0.015 0.015 0.954
N 0.625 0.248 0.214
N 0.248 0.913 0.214
N 0.913 0.625 0.214
N 0.356 0.707 0.754
N 0.707 0.183 0.754
N 0.183 0.356 0.754
```

Formation energy without anion corrections: -1.376 eV per atom
Electronic total energy: -0.733 Ry/atom

---

12.
A plane-wave DFT calculation with PBE was carried out for a geometry-optimized Ac2Pm3NpN6 structure. Values from VASP.

```
&SYSTEM
  ibrav = 0, nat = 12, ntyp = 4
/
ATOMIC_SPECIES
Ac 227.00 Ac.upf
Pm 145.00 Pm.upf
Np 237.00 Np.upf
N 14.01 N.upf
CELL_PARAMETERS angstrom
6.430 -0.029 -0.001
-3.238 5.555 -0.001
-1.066 -1.845 5.946
ATOMIC_POSITIONS crystal
Ac 0.334 0.666 0.000
Ac 0.666 0.334 0.000
Pm 0.156 0.844 0.500
Pm 0.844 0.156 0.500
Pm 0.500 0.500 0.500
Np 0.000 0.000 0.000
N 0.923 0.640 0.768
N 0.777 0.777 0.256
N 0.077 0.360 0.232
N 0.640 0.923 0.768
N 0.223 0.223 0.744
N 0.360 0.077 0.232
```

Formation energy without anion corrections: -1.230 eV per atom
Electronic total energy: -0.613 Ry/atom

---

13.
A plane-wave DFT calculation with PBE was carried out for a geometry-optimized AcPm2NpN5 structure. Values from VASP.

```
&SYSTEM
  ibrav = 0, nat = 9, ntyp = 4
/
ATOMIC_SPECIES
Ac 227.00 Ac.upf
Pm 145.00 Pm.upf
Np 237.00 Np.upf
N 14.01 N.upf
CELL_PARAMETERS angstrom
-0.254 4.069 -0.149
-5.563 -0.437 -2.454
0.475 -1.766 6.808
ATOMIC_POSITIONS crystal
Ac 0.000 0.500 0.000
Pm 0.218 0.218 0.435
Pm 0.782 0.782 0.565
Np 0.500 0.000 0.000
N 0.632 0.887 0.265
N 0.368 0.113 0.735
N 0.368 0.622 0.735
N 0.632 0.378 0.265
N 0.000 0.000 0.000
```

Formation energy without anion corrections: -1.207 eV per atom
Electronic total energy: -0.645 Ry/atom

---

14.
A plane-wave DFT calculation with PBE was carried out for a geometry-optimized Ac3Pm2NpN6 structure. Values from VASP.

```
&SYSTEM
  ibrav = 0, nat = 12, ntyp = 4
/
ATOMIC_SPECIES
Ac 227.00 Ac.upf
Pm 145.00 Pm.upf
Np 237.00 Np.upf
N 14.01 N.upf
CELL_PARAMETERS angstrom
-5.560 2.880 -0.988
3.164 -2.513 -4.884
-2.123 -5.460 2.803
ATOMIC_POSITIONS crystal
Ac 0.169 0.831 0.500
Ac 0.831 0.169 0.500
Ac 0.500 0.500 0.500
Pm 0.334 0.666 0.000
Pm 0.666 0.334 0.000
Np 0.000 0.000 0.000
N 0.931 0.637 0.796
N 0.772 0.772 0.217
N 0.069 0.363 0.204
N 0.637 0.931 0.796
N 0.228 0.228 0.783
N 0.363 0.069 0.204
```

Formation energy without anion corrections: -1.201 eV per atom
Electronic total energy: -0.607 Ry/atom

---

15.
A plane-wave DFT calculation with PBE was carried out for a geometry-optimized AcPr2NpN5 structure. Values from VASP.

```
&SYSTEM
  ibrav = 0, nat = 9, ntyp = 4
/
ATOMIC_SPECIES
Ac 227.00 Ac.upf
Pr 140.91 Pr.upf
Np 237.00 Np.upf
N 14.01 N.upf
CELL_PARAMETERS angstrom
4.094 0.000 0.000
0.000 6.141 0.000
-2.047 -3.070 6.105
ATOMIC_POSITIONS crystal
Ac 0.000 0.500 0.000
Pr 0.217 0.217 0.435
Pr 0.783 0.783 0.565
Np 0.500 0.000 0.000
N 0.630 0.885 0.260
N 0.370 0.115 0.740
N 0.370 0.625 0.740
N 0.630 0.375 0.260
N 0.000 0.000 0.000
```

Formation energy without anion corrections: -1.162 eV per atom
Electronic total energy: -0.643 Ry/atom

---

16.
A plane-wave DFT calculation with PBE was carried out for a geometry-optimized AcPrNpN3 structure. Values from VASP.

```
&SYSTEM
  ibrav = 0, nat = 12, ntyp = 4
/
ATOMIC_SPECIES
Ac 227.00 Ac.upf
Pr 140.91 Pr.upf
Np 237.00 Np.upf
N 14.01 N.upf
CELL_PARAMETERS angstrom
-3.617 -1.065 0.000
1.817 -6.171 -4.528
1.078 -3.657 7.650
ATOMIC_POSITIONS crystal
Ac 0.750 0.828 0.850
Ac 0.250 0.172 0.150
Pr 0.250 0.624 0.162
Pr 0.750 0.376 0.838
Np 0.250 0.059 0.586
Np 0.750 0.941 0.414
N 0.250 0.795 0.433
N 0.750 0.895 0.159
N 0.750 0.395 0.123
N 0.750 0.205 0.567
N 0.250 0.605 0.877
N 0.250 0.105 0.841
```

Formation energy without anion corrections: -0.896 eV per atom
Electronic total energy: -0.639 Ry/atom

---

17.
A plane-wave DFT calculation with PBE was carried out for a geometry-optimized Ac2PrNpN4 structure. Values from VASP.

```
&SYSTEM
  ibrav = 0, nat = 8, ntyp = 4
/
ATOMIC_SPECIES
Ac 227.00 Ac.upf
Pr 140.91 Pr.upf
Np 237.00 Np.upf
N 14.01 N.upf
CELL_PARAMETERS angstrom
-1.739 3.045 -1.136
1.256 -1.534 -6.035
-5.701 -2.628 1.684
ATOMIC_POSITIONS crystal
Ac 0.500 0.000 0.500
Ac 0.000 0.500 0.500
Pr 0.500 0.500 0.000
Np 0.000 0.000 0.000
N 0.500 0.215 0.207
N 0.500 0.785 0.793
N 0.000 0.222 0.795
N 0.000 0.778 0.205
```

Formation energy without anion corrections: -1.113 eV per atom
Electronic total energy: -0.626 Ry/atom

---

18.
A plane-wave DFT calculation with PBE was carried out for a geometry-optimized Ac2PuNpN4 structure. Values from VASP.

```
&SYSTEM
  ibrav = 0, nat = 8, ntyp = 4
/
ATOMIC_SPECIES
Ac 227.00 Ac.upf
Pu 244.00 Pu.upf
Np 237.00 Np.upf
N 14.01 N.upf
CELL_PARAMETERS angstrom
3.619 0.000 0.000
0.000 6.248 0.114
0.000 -2.181 6.039
ATOMIC_POSITIONS crystal
Ac 0.500 0.000 0.500
Ac 0.000 0.500 0.500
Pu 0.000 0.000 0.000
Np 0.500 0.500 0.000
N 0.500 0.243 0.195
N 0.500 0.757 0.805
N 0.000 0.277 0.805
N 0.000 0.723 0.195
```

Formation energy without anion corrections: -1.099 eV per atom
Electronic total energy: -0.713 Ry/atom

---

19.
A plane-wave DFT calculation with PBE was carried out for a geometry-optimized Ac2PuNpN6 structure. Values from VASP.

```
&SYSTEM
  ibrav = 0, nat = 20, ntyp = 4
/
ATOMIC_SPECIES
Ac 227.00 Ac.upf
Pu 244.00 Pu.upf
Np 237.00 Np.upf
N 14.01 N.upf
CELL_PARAMETERS angstrom
-2.798 -4.482 2.961
5.020 -3.366 -0.351
2.636 3.148 7.507
ATOMIC_POSITIONS crystal
Ac 0.006 0.975 0.252
Ac 0.506 0.525 0.752
Ac 0.994 0.025 0.748
Ac 0.494 0.475 0.248
Pu 0.500 0.000 0.000
Pu 0.000 0.500 0.500
Np 0.500 0.000 0.500
Np 0.000 0.500 0.000
N 0.269 0.718 0.037
N 0.769 0.782 0.537
N 0.731 0.282 0.963
N 0.231 0.218 0.463
N 0.256 0.709 0.461
N 0.756 0.791 0.961
N 0.744 0.291 0.539
N 0.244 0.209 0.039
N 0.929 0.512 0.233
N 0.429 0.988 0.733
N 0.071 0.488 0.767
N 0.571 0.012 0.267
```

Formation energy without anion corrections: -1.170 eV per atom
Electronic total energy: -0.714 Ry/atom

---

20.
A plane-wave DFT calculation with PBE was carried out for a geometry-optimized RbAc2Np3N8 structure. Values from VASP.

```
&SYSTEM
  ibrav = 0, nat = 14, ntyp = 4
/
ATOMIC_SPECIES
Rb 85.47 Rb.upf
Ac 227.00 Ac.upf
Np 237.00 Np.upf
N 14.01 N.upf
CELL_PARAMETERS angstrom
-3.065 2.152 -5.953
0.315 -4.013 -5.768
-6.145 -3.436 -2.233
ATOMIC_POSITIONS crystal
Rb 0.873 0.873 0.381
Ac 0.110 0.110 0.671
Ac 0.501 0.501 0.496
Np 0.501 0.996 0.001
Np 0.996 0.501 0.001
Np 0.501 0.501 0.001
N 0.274 0.274 0.177
N 0.720 0.720 0.839
N 0.253 0.253 0.812
N 0.683 0.253 0.812
N 0.253 0.683 0.812
N 0.744 0.338 0.173
N 0.338 0.744 0.173
N 0.744 0.744 0.173
```

Formation energy without anion corrections: -0.945 eV per atom
Electronic total energy: -0.671 Ry/atom

---

For the records above, the corresponding size of the total moment values read 0.416, 0.083, 0.228, 0.368, 0.006, 0.166, 0.400, 0.792, 0.201, 0.265, 0.200, 0.209, 0.108, 0.128, 0.104, 0.182, 0.304, 0.912, 0.300, 0.286 μB per atom.